Entry 1:
The following is a PBE-GGA calculation of ErLuGaIr after structural relaxation, from Alexandria.

```
ErLuGaIr
1.0
-2.709 -3.641 -1.796
1.795 -4.537 -0.142
-1.778 -3.423 2.991
Ir Lu Ga Er
1 1 1 1
Cartesian
-2.020 -8.701 0.789
-1.346 -5.800 0.526
-0.673 -2.900 0.263
0.000 0.000 0.000
```

Computed properties:
D(E_F) = 1.97 states/eV/f.u.
formation enthalpy at 0 K = -739 meV per atom

=====

Entry 2:
The following is a PBE-GGA calculation of LaMgCo2 after structural relaxation, from Alexandria.

```
LaMgCo2
1.0
3.931 0.000 0.000
0.000 4.138 0.002
0.000 2.066 4.862
Mg Co La
1 2 1
Cartesian
1.965 4.912 4.115
0.000 0.775 0.044
1.965 0.775 1.059
0.000 2.845 2.076
```

Computed properties:
D(E_F) = 3.85 states/eV/f.u.
formation enthalpy at 0 K = 0 meV per atom

=====

Entry 3:
The following is a PBE-GGA calculation of Gd2AgSe after structural relaxation, from Alexandria.

```
Gd2AgSe
1.0
-3.434 0.814 -1.340
-2.206 -2.756 -1.337
-5.608 -1.924 7.888
Gd Se Ag
2 1 1
Cartesian
-4.448 -1.527 5.156
-6.801 -2.340 0.056
-5.624 -1.933 2.606
0.000 0.000 0.000
```

Computed properties:
energy relative to the elements, uncorrected = -481.4 meV per atom
D(E_F) = 4.71 states/eV/f.u.

=====

- D(E_F) of number 1 (ErLuGaIr)?
  1.97 states/eV/f.u.